PmCr2O6 after structural relaxation. Source: Alexandria via LeMat-Bulk, functional PBE with a Hubbard U.

Calculated values
E (eV per atom): -7.408
DOS at the Fermi energy (states/eV/f.u.): 4.56

```
18
Lattice="5.262 -5.191 0.000 5.262 5.191 0.000 -1.982 0.000 5.613" Properties=species:S:1:pos:R:3 pbc="T T T"
Pm 3.776 4.045 4.209
Pm 4.767 -4.045 1.403
Cr 1.714 0.809 4.273
Cr 2.705 -0.809 1.467
Cr 5.838 0.809 4.146
Cr 6.829 -0.809 1.340
O 0.079 0.553 3.595
O 2.092 2.446 4.443
O 1.070 -0.553 0.789
O 2.774 0.070 3.027
O 3.765 -0.070 0.221
O 5.460 2.446 3.976
O 3.083 -2.446 1.637
O 4.778 0.070 5.392
O 5.769 -0.070 2.586
O 7.473 0.553 4.824
O 6.451 -2.446 1.169
O 8.464 -0.553 2.017
```